# 1
Material: Ba3Ge3Ir
Method: DFT, PBE
State: relaxed

For the total energy, the calculation gives -4.53 eV per atom. For the energy of formation, the calculation gives -461 meV/atom. As for the space-group type: No. 11. The size of the total moment comes out at 0.0 μB per formula unit.

Cell: 9.2494 4.6955 10.9298 Å, 90.00 113.80 90.00°
Last column: nearest neighbours and their distance in Å.
Sites, in units of the cell vectors:
Ba (0.0494, 0.2500, 0.3839)  5 Ge 3.27-3.48, 2 Ir 3.38
Ba (0.3116, 0.7500, 0.0060)  6 Ge 3.32-3.52, 2 Ir 3.45
Ba (0.4412, 0.7500, 0.6499)  5 Ge 3.46-3.59
Ba (0.5588, 0.2500, 0.3501)  5 Ge 3.46-3.59
Ba (0.6884, 0.2500, 0.9940)  6 Ge 3.32-3.52, 2 Ir 3.45
Ba (0.9506, 0.7500, 0.6161)  5 Ge 3.27-3.48, 2 Ir 3.38
Ge (0.0922, 0.2500, 0.1008)  3 Ir 2.49-2.68
Ge (0.2352, 0.2500, 0.7648)  1 Ir 2.56
Ge (0.2639, 0.7500, 0.2914)  1 Ir 2.46
Ge (0.7361, 0.2500, 0.7086)  1 Ir 2.46
Ge (0.7648, 0.7500, 0.2352)  1 Ir 2.56
Ge (0.9078, 0.7500, 0.8992)  3 Ir 2.49-2.68
Ir (0.0196, 0.2500, 0.8556)  5 Ge 2.46-2.68
Ir (0.9804, 0.7500, 0.1444)  5 Ge 2.46-2.68

=====

# 2
Material: BaGe3Ir
Method: DFT, PBE
State: relaxed

For the total energy, the calculation gives -5.45 eV per atom. For the energy of formation, the calculation gives -523 meV/atom. As for the space-group type: No. 8. The size of the total moment comes out at 0.0 μB per formula unit.

Cell: 4.5940 4.5940 6.0996 Å, 112.06 112.06 90.05°
Last column: nearest neighbours and their distance in Å.
Sites, in units of the cell vectors:
Ba (0.0000, 0.0000, 0.0000)  12 Ge 3.37-3.48, 5 Ir 3.60-3.61
Ge (0.2479, 0.7476, 0.4947)  2 Ir 2.53, 2 Ge 2.82
Ge (0.5893, 0.5893, 0.1773)  1 Ir 2.47
Ge (0.7476, 0.2479, 0.4947)  2 Ir 2.53, 2 Ge 2.82
Ir (0.3489, 0.3489, 0.6985)  5 Ge 2.47-2.53

=====

# 3
Material: BaGe2Ir2
Method: DFT, PBE
State: relaxed

For the total energy, the calculation gives -5.76 eV per atom. For the energy of formation, the calculation gives 18 meV/atom. As for the space-group type: No. 127. The size of the total moment comes out at 0.0 μB per formula unit.

Cell: 8.0210 8.0210 3.0700 Å, 90.00 90.00 90.00°
Last column: nearest neighbours and their distance in Å.
Sites, in units of the cell vectors:
Ba (0.0000, 0.0000, 0.0000)  2 Ba 3.07, 4 Ir 3.16
Ba (0.5000, 0.5000, 0.0000)  2 Ba 3.07, 4 Ir 3.16
Ge (0.1407, 0.3593, 0.5000)  4 Ir 2.64
Ge (0.3593, 0.8593, 0.5000)  4 Ir 2.64
Ge (0.6407, 0.1407, 0.5000)  4 Ir 2.64
Ge (0.8593, 0.6407, 0.5000)  4 Ir 2.64
Ir (0.1273, 0.6273, 0.0000)  4 Ge 2.64, 1 Ir 2.89
Ir (0.3727, 0.1273, 0.0000)  4 Ge 2.64, 1 Ir 2.89
Ir (0.6273, 0.8727, 0.0000)  4 Ge 2.64, 1 Ir 2.89
Ir (0.8727, 0.3727, 0.0000)  4 Ge 2.64, 1 Ir 2.89

=====

# 4
Material: Ba2GeIr
Method: DFT, PBE
State: relaxed

For the total energy, the calculation gives -4.66 eV per atom. For the energy of formation, the calculation gives -326 meV/atom. As for the space-group type: No. 122. The size of the total moment comes out at 0.0 μB per formula unit.

Cell: 8.7436 8.7436 8.7436 Å, 94.24 94.24 148.43°
Last column: nearest neighbours and their distance in Å.
Sites, in units of the cell vectors:
Ba (0.3750, 0.1919, 0.3169)  2 Ir 3.14
Ba (0.8081, 0.1250, 0.1831)  2 Ir 3.14
Ba (0.8750, 0.0581, 0.6831)  2 Ir 3.14
Ba (0.9419, 0.6250, 0.8169)  2 Ir 3.14
Ge (0.2500, 0.7500, 0.5000)  2 Ir 2.38
Ge (0.5000, 0.5000, 0.0000)  2 Ir 2.38
Ir (0.0000, 0.0000, 0.0000)  2 Ge 2.38
Ir (0.7500, 0.2500, 0.5000)  2 Ge 2.38

=====

# 5
Material: Ba2GeIr
Method: DFT, PBE
State: relaxed

For the total energy, the calculation gives -4.77 eV per atom. For the energy of formation, the calculation gives -442 meV/atom. As for the space-group type: No. 160. The size of the total moment comes out at 0.0 μB per formula unit.

Cell: 9.3065 9.3065 9.3065 Å, 27.46 27.46 27.46°
Last column: nearest neighbours and their distance in Å.
Sites, in units of the cell vectors:
Ba (0.0000, 0.0000, 0.0000)  3 Ge 3.35, 3 Ir 3.35
Ba (0.1618, 0.1618, 0.1618)  3 Ir 3.35, 3 Ge 3.35
Ge (0.7476, 0.7476, 0.7476)  3 Ir 2.55
Ir (0.4143, 0.4143, 0.4143)  3 Ge 2.55

=====

# 6
Material: BaGe3Ir
Method: DFT, PBE
State: relaxed

For the total energy, the calculation gives -5.35 eV per atom. For the energy of formation, the calculation gives -418 meV/atom. As for the space-group type: No. 31. The size of the total moment comes out at 0.0 μB per formula unit.

Cell: 6.6761 6.7453 5.6991 Å, 90.00 90.00 90.00°
Last column: nearest neighbours and their distance in Å.
Sites, in units of the cell vectors:
Ba (0.0000, 0.1061, 0.0000)  5 Ge 3.21-3.49, 1 Ir 3.48
Ba (0.5000, 0.8939, 0.5000)  5 Ge 3.21-3.49, 1 Ir 3.48
Ge (0.0000, 0.8013, 0.5679)  1 Ir 2.39, 2 Ge 2.67
Ge (0.2169, 0.6128, 0.8921)  2 Ir 2.45-2.47, 1 Ge 2.67
Ge (0.2831, 0.3872, 0.3921)  2 Ir 2.45-2.47, 1 Ge 2.67
Ge (0.5000, 0.1987, 0.0679)  1 Ir 2.39, 2 Ge 2.67
Ge (0.7169, 0.3872, 0.3921)  2 Ir 2.45-2.47, 1 Ge 2.67
Ge (0.7831, 0.6128, 0.8921)  2 Ir 2.45-2.47, 1 Ge 2.67
Ir (0.0000, 0.5798, 0.2401)  5 Ge 2.39-2.47
Ir (0.5000, 0.4202, 0.7401)  5 Ge 2.39-2.47